[1]
The following is a GGA-PBE calculation of a relaxed Cs4CrI5 crystal, from the Alexandria database.

abc: 7.786 9.143 9.143
angles: 79.55 64.80 64.80
Each line ends with the local moment (μB).
Sites, in units of the cell vectors:
Cs  0.415  0.389  0.790  0.00
Cs  0.804  0.790  0.611  0.00
Cs  0.205  0.210  0.389  0.00
Cs  0.594  0.611  0.210  0.00
Cr  0.062  0.000  0.000  4.25
I  0.917  0.335  0.833  0.00
I  0.252  0.833  0.665  0.00
I  0.749  0.167  0.335  0.00
I  0.084  0.665  0.167  0.00
I  0.428  0.000  0.000  0.00

Results
- E_form (uncorrected) (eV/atom) = -1.113

---

[2]
The following is a GGA-PBE calculation of a relaxed Nd6HIr2I3 crystal, from the Alexandria database.

abc: 7.184 7.184 8.467
angles: 98.18 98.18 119.87
Sites, in units of the cell vectors:
Nd  0.939  0.602  0.815
Nd  0.724  0.724  0.186
Nd  0.061  0.398  0.185
Nd  0.602  0.939  0.815
Nd  0.276  0.276  0.814
Nd  0.398  0.061  0.185
H  0.000  0.000  0.000
Ir  0.333  0.667  0.000
Ir  0.667  0.333  0.000
I  0.168  0.832  0.500
I  0.832  0.168  0.500
I  0.500  0.500  0.500

Results
- E_tot (eV/cell) = -64.2

---

[3]
The following is a GGA-PBE calculation of a relaxed Li2AcLa2Tl2 crystal, from the Alexandria database.

abc: 4.936 4.936 10.027
angles: 75.75 75.75 60.00
Sites, in units of the cell vectors:
Li  0.585  0.585  0.244
Li  0.415  0.415  0.756
Ac  0.000  0.000  0.000
La  0.139  0.139  0.583
La  0.861  0.861  0.417
Tl  0.740  0.740  0.779
Tl  0.260  0.260  0.221

Results
- energy of formation (eV/atom) = -0.239

---

[4]
The following is a GGA-PBE calculation of a relaxed NaMgV crystal, from the Alexandria database.

abc: 4.951 4.951 4.951
angles: 60.00 60.00 60.00
Each line ends with the local moment (μB).
Sites, in units of the cell vectors:
Na  0.250  0.250  0.250  0.01
Mg  0.000  0.000  0.000  0.02
V  0.750  0.750  0.750  3.06

Results
- polymorph energy (0 for the lowest one) (meV per atom) = 889
- energy of formation (eV/atom) = 1.090

---

[5]
The following is a GGA-PBE calculation of a relaxed SrAc2NbO6 crystal, from the Alexandria database.

abc: 5.578 5.723 5.723
angles: 90.00 90.00 90.00
Each line ends with the local moment (μB).
Sites, in units of the cell vectors:
Sr  0.551  0.500  0.500  0.00
Ac  0.994  0.500  0.000  0.03
Ac  0.994  0.000  0.500  0.03
Nb  0.586  0.000  0.000  0.60
O  0.739  0.229  0.229  0.01
O  0.739  0.229  0.771  0.01
O  0.123  0.500  0.500  0.00
O  0.244  0.000  0.000  -0.02
O  0.739  0.771  0.771  0.01
O  0.739  0.771  0.229  0.01

Results
- E_form (uncorrected) (eV/atom) = -2.868

---

[6]
The following is a GGA-PBE calculation of a relaxed MgMo2Se crystal, from the Alexandria database.

abc: 3.269 3.269 6.473
angles: 90.00 90.00 90.00
Sites, in units of the cell vectors:
Mg  0.500  0.500  0.760
Mo  0.000  0.000  0.028
Mo  0.500  0.500  0.247
Se  0.000  0.000  0.465

Results
- polymorph energy (0 for the lowest one) (meV per atom) = 28
- E_form (uncorrected) (eV/atom) = 0.055

---

[7]
The following is a GGA-PBE calculation of a relaxed DyLuCdPb crystal, from the Alexandria database.

abc: 5.297 5.297 5.297
angles: 60.00 60.00 60.00
Sites, in units of the cell vectors:
Pb  0.250  0.250  0.250
Cd  0.750  0.750  0.750
Lu  0.000  0.000  0.000
Dy  0.500  0.500  0.500

Results
- energy of formation (eV/atom) = -0.331

---

[8]
The following is a GGA-PBE calculation of a relaxed AlCdIn crystal, from the Alexandria database.

abc: 3.112 3.112 7.982
angles: 90.00 90.00 120.00
Sites, in units of the cell vectors:
Cd  0.333  0.667  0.317
Al  0.000  0.000  0.001
In  0.667  0.333  0.682

Results
- energy of formation (eV/atom) = 0.131

---

[9]
The following is a GGA-PBE calculation of a relaxed V4Co2Ir3 crystal, from the Alexandria database.

abc: 4.595 4.595 7.877
angles: 74.47 74.47 48.01
Sites, in units of the cell vectors:
V  0.668  0.668  0.106
V  0.011  0.011  0.668
V  0.989  0.989  0.332
V  0.332  0.332  0.894
Co  0.338  0.338  0.224
Co  0.662  0.662  0.776
Ir  0.333  0.333  0.564
Ir  0.000  0.000  0.000
Ir  0.667  0.667  0.436

Results
- energy of formation (eV/atom) = -0.334

---

[10]
The following is a GGA-PBE calculation of a relaxed Hf5TlSn crystal, from the Alexandria database.

abc: 7.431 7.431 10.569
angles: 50.05 50.05 69.96
Sites, in units of the cell vectors:
Hf  0.693  0.677  0.105
Hf  0.469  0.792  0.398
Hf  0.677  0.693  0.605
Hf  0.816  0.184  0.250
Hf  0.208  0.531  0.102
Hf  0.792  0.469  0.898
Hf  0.184  0.816  0.750
Hf  0.323  0.307  0.395
Hf  0.531  0.208  0.602
Hf  0.307  0.323  0.895
Tl  0.000  0.000  0.000
Tl  0.000  0.000  0.500
Sn  0.201  0.799  0.250
Sn  0.799  0.201  0.750

Results
- energy of formation (eV/atom) = 0.272

---

[11]
The following is a GGA-PBE calculation of a relaxed BaHfRu2 crystal, from the Alexandria database.

abc: 4.875 4.875 4.875
angles: 60.00 60.00 60.00
Sites, in units of the cell vectors:
Ru  0.250  0.250  0.250
Ru  0.750  0.750  0.750
Hf  0.500  0.500  0.500
Ba  0.000  0.000  0.000

Results
- polymorph energy (0 for the lowest one) (meV per atom) = 0
- energy of formation (eV/atom) = 0.432

---

[12]
The following is a GGA-PBE calculation of a relaxed Cu2HgMo crystal, from the Alexandria database.

abc: 5.493 5.493 5.493
angles: 151.27 129.17 59.44
Sites, in units of the cell vectors:
Cu  0.986  0.986  0.000
Cu  0.764  0.264  0.500
Hg  0.513  0.513  0.000
Mo  0.237  0.737  0.500

Results
- energy of formation (eV/atom) = 0.462

---

[13]
The following is a GGA-PBE calculation of a relaxed TbCu6Au12 crystal, from the Alexandria database.

abc: 7.400 7.400 7.400
angles: 106.03 106.03 106.03
Sites, in units of the cell vectors:
Tb  0.000  0.000  0.000
Cu  0.688  0.292  0.292
Cu  0.292  0.292  0.688
Cu  0.292  0.688  0.292
Cu  0.708  0.708  0.312
Cu  0.312  0.708  0.708
Cu  0.708  0.312  0.708
Au  0.881  0.119  0.500
Au  0.881  0.631  0.631
Au  0.631  0.631  0.881
Au  0.369  0.119  0.369
Au  0.369  0.369  0.119
Au  0.119  0.369  0.369
Au  0.119  0.500  0.881
Au  0.500  0.881  0.119
Au  0.119  0.881  0.500
Au  0.881  0.500  0.119
Au  0.500  0.119  0.881
Au  0.631  0.881  0.631

Results
- energy of formation (eV/atom) = -0.046

---

[14]
The following is a GGA-PBE calculation of a relaxed Ce5Hg2N crystal, from the Alexandria database.

abc: 5.042 8.677 11.631
angles: 90.00 90.00 106.89
Each line ends with the local moment (μB).
Sites, in units of the cell vectors:
Ce  0.915  0.830  0.868  0.72
Ce  0.915  0.830  0.632  0.72
Ce  0.292  0.584  0.416  0.70
Ce  0.292  0.584  0.084  0.70
Ce  0.701  0.401  0.250  0.55
Ce  0.299  0.599  0.750  0.55
Ce  0.708  0.416  0.584  0.70
Ce  0.708  0.416  0.916  0.70
Ce  0.085  0.170  0.132  0.72
Ce  0.085  0.170  0.368  0.72
Hg  0.893  0.786  0.370  0.00
Hg  0.893  0.786  0.130  0.00
Hg  0.107  0.214  0.630  0.00
Hg  0.107  0.214  0.870  0.00
N  0.795  0.590  0.750  -0.03
N  0.205  0.410  0.250  -0.03

Results
- E_form (uncorrected) (eV/atom) = -0.167

---

[15]
The following is a GGA-PBE calculation of a relaxed CdIn2Ag crystal, from the Alexandria database.

abc: 5.629 5.629 5.437
angles: 131.75 131.73 73.36
Sites, in units of the cell vectors:
Cd  0.250  0.750  0.500
Ag  0.750  0.250  0.500
In  0.000  0.000  0.000
In  0.500  0.500  0.000

Results
- energy of formation (eV/atom) = 0.047

---

[16]
The following is a GGA-PBE calculation of a relaxed Tl2AsBr crystal, from the Alexandria database.

abc: 7.154 7.154 7.154
angles: 151.10 136.98 52.66
Sites, in units of the cell vectors:
Tl  0.999  0.999  0.000
Tl  0.253  0.753  0.500
As  0.471  0.471  0.000
Br  0.777  0.277  0.500

Results
- polymorph energy (0 for the lowest one) (meV per atom) = 148
- E_form (uncorrected) (eV/atom) = -0.035

---

[17]
The following is a GGA-PBE calculation of a relaxed NaPmBiO4 crystal, from the Alexandria database.

abc: 6.987 7.017 7.017
angles: 61.56 60.14 60.14
Sites, in units of the cell vectors:
Na  0.612  0.638  0.138
Na  0.388  0.362  0.862
Pm  0.000  0.000  0.000
Pm  0.000  0.500  0.500
Bi  0.500  0.000  0.500
Bi  0.000  0.000  0.500
O  0.756  0.784  0.704
O  0.244  0.796  0.716
O  0.756  0.204  0.284
O  0.244  0.216  0.296
O  0.198  0.770  0.270
O  0.761  0.770  0.270
O  0.239  0.230  0.730
O  0.802  0.230  0.730

Results
- E_form (uncorrected) (eV/atom) = -1.950

---

[18]
The following is a GGA-PBE calculation of a relaxed HoTcB3 crystal, from the Alexandria database.

abc: 3.670 3.106 9.804
angles: 90.00 100.79 90.00
Sites, in units of the cell vectors:
Ho  0.923  0.750  0.847
Ho  0.077  0.250  0.153
Tc  0.208  0.750  0.415
Tc  0.792  0.250  0.585
B  0.630  0.750  0.259
B  0.370  0.250  0.741
B  0.523  0.750  0.045
B  0.477  0.250  0.955
B  0.677  0.250  0.355
B  0.323  0.750  0.645

Results
- energy of formation (eV/atom) = -0.439

---

[19]
The following is a GGA-PBE calculation of a relaxed Sr3Ac5Cl12 crystal, from the Alexandria database.

abc: 15.420 15.420 15.420
angles: 109.47 109.47 109.47
Sites, in units of the cell vectors:
Sr  0.750  0.375  0.125
Sr  0.875  0.750  0.125
Sr  0.375  0.750  0.625
Sr  0.250  0.125  0.375
Sr  0.875  0.125  0.250
Sr  0.375  0.625  0.250
Sr  0.625  0.375  0.750
Sr  0.125  0.875  0.750
Sr  0.750  0.875  0.625
Sr  0.625  0.250  0.375
Sr  0.125  0.250  0.875
Sr  0.250  0.625  0.875
Ac  0.125  0.375  0.250
Ac  0.000  0.500  0.000
Ac  0.000  0.000  0.000
Ac  0.375  0.250  0.125
Ac  0.500  0.000  0.500
Ac  0.500  0.500  0.000
Ac  0.125  0.750  0.375
Ac  0.750  0.125  0.875
Ac  0.750  0.625  0.375
Ac  0.375  0.125  0.750
Ac  0.625  0.875  0.250
Ac  0.500  0.500  0.500
Ac  0.500  0.000  0.000
Ac  0.000  0.000  0.500
Ac  0.250  0.375  0.625
Ac  0.250  0.875  0.125
Ac  0.000  0.500  0.500
Ac  0.875  0.250  0.625
Ac  0.625  0.750  0.875
Ac  0.875  0.625  0.750
Cl  0.719  0.162  0.061
Cl  0.342  0.561  0.399
Cl  0.939  0.338  0.281
Cl  0.561  0.219  0.162
Cl  0.557  0.719  0.658
Cl  0.939  0.601  0.158
Cl  0.342  0.781  0.443
Cl  0.101  0.943  0.162
Cl  0.601  0.939  0.658
Cl  0.719  0.557  0.158
Cl  0.781  0.439  0.338
Cl  0.842  0.899  0.061
Cl  0.162  0.719  0.561
Cl  0.338  0.399  0.057
Cl  0.057  0.899  0.338
Cl  0.443  0.162  0.601
Cl  0.057  0.158  0.219
Cl  0.439  0.658  0.101
Cl  0.842  0.943  0.281
Cl  0.162  0.443  0.101
Cl  0.338  0.939  0.781
Cl  0.601  0.662  0.443
Cl  0.899  0.842  0.561
Cl  0.781  0.342  0.943
Cl  0.399  0.338  0.557
Cl  0.101  0.158  0.439
Cl  0.219  0.658  0.057
Cl  0.158  0.057  0.719
Cl  0.662  0.061  0.219
Cl  0.838  0.557  0.899
Cl  0.561  0.342  0.899
Cl  0.557  0.838  0.399
Cl  0.943  0.842  0.781
Cl  0.943  0.101  0.662
Cl  0.838  0.281  0.439
Cl  0.158  0.101  0.939
Cl  0.662  0.601  0.943
Cl  0.399  0.061  0.342
Cl  0.281  0.443  0.842
Cl  0.219  0.561  0.662
Cl  0.899  0.057  0.838
Cl  0.658  0.219  0.557
Cl  0.439  0.781  0.838
Cl  0.061  0.399  0.842
Cl  0.443  0.281  0.342
Cl  0.061  0.662  0.719
Cl  0.658  0.439  0.601
Cl  0.281  0.838  0.939

Results
- E_form (uncorrected) (eV/atom) = -1.737

---

[20]
The following is a GGA-PBE calculation of a relaxed Li2PuZn9 crystal, from the Alexandria database.

abc: 5.230 5.230 9.058
angles: 73.22 73.22 60.00
Each line ends with the local moment (μB).
Sites, in units of the cell vectors:
Li  0.857  0.857  0.429  0.00
Li  0.143  0.143  0.571  0.00
Pu  0.000  0.000  0.000  5.41
Zn  0.666  0.666  0.001  0.02
Zn  0.334  0.334  0.999  0.02
Zn  0.500  0.500  0.500  0.01
Zn  0.411  0.411  0.259  0.01
Zn  0.919  0.411  0.259  0.01
Zn  0.411  0.919  0.259  0.01
Zn  0.589  0.589  0.741  0.01
Zn  0.589  0.081  0.741  0.01
Zn  0.081  0.589  0.741  0.01

Results
- polymorph energy (0 for the lowest one) (meV per atom) = 0
- energy of formation (eV/atom) = -0.137